The following is a SCAN calculation of a PBEsol-optimized structure of HgBAsSe2, from the Alexandria database.

a b c (Å): 4.1268 4.7189 4.7189
angles (deg): 90.00 90.00 90.00
With the nearest neighbours (Å) after each atom.
Fractional positions:
As 0.5000 0.0000 0.0000  2 B 2.06
B 0.0000 0.0000 0.0000  2 As 2.06
Hg 0.5000 0.5000 0.5000  8 Se 3.13, 4 As 3.34
Se 0.0000 0.0000 0.5000  2 B 2.36
Se 0.0000 0.5000 0.0000  2 B 2.36

Computed properties:
energy relative to the elements, uncorrected = 0.770 eV/atom
space-group type = P4/mmm (123)


The following is a SCAN calculation of a PBEsol-optimized structure of BAs2I, from the Alexandria database.

a b c (Å): 4.7529 4.7529 4.7529
angles (deg): 60.00 60.00 60.00
With the nearest neighbours (Å) after each atom.
Fractional positions:
I 0.5000 0.5000 0.5000  8 As 2.91
As 0.2500 0.2500 0.2500  4 B 2.91, 4 I 2.91
As 0.7500 0.7500 0.7500  4 B 2.91, 4 I 2.91
B 0.0000 0.0000 0.0000  8 As 2.91

Computed properties:
energy relative to the elements, uncorrected = 1.595 eV/atom
space-group type = Fm-3m (225)


The following is a SCAN calculation of a PBEsol-optimized structure of B2AsI, from the Alexandria database.

a b c (Å): 5.6833 5.7202 5.6833
angles (deg): 60.21 90.00 119.79
With the nearest neighbours (Å) after each atom.
Fractional positions:
I 0.7500 0.5000 0.7500  4 B 2.49
I 0.0000 0.0000 0.0000  4 B 2.49
As 0.2500 0.5000 0.2500  4 B 2.04
As 0.5000 0.0000 0.5000  4 B 2.04
B 0.5618 0.7500 0.3750  2 As 2.04
B 0.1882 0.7500 0.8750  2 As 2.04
B 0.8750 0.2500 0.5618  2 As 2.04
B 0.3750 0.2500 0.1882  2 As 2.04

Computed properties:
energy relative to the elements, uncorrected = 1.045 eV/atom
space-group type = I-42d (122)


The following is a SCAN calculation of a PBEsol-optimized structure of BAsIO2, from the Alexandria database.

a b c (Å): 3.7062 3.7062 6.2304
angles (deg): 90.00 90.00 90.00
With the nearest neighbours (Å) after each atom.
Fractional positions:
I 0.0000 0.0000 0.5000  4 B 2.62
As 0.0000 0.0000 0.0000  4 O 1.85
B 0.5000 0.5000 0.5000  4 I 2.62
O 0.0000 0.5000 0.0000  2 As 1.85
O 0.5000 0.0000 0.0000  2 As 1.85

Computed properties:
energy relative to the elements, uncorrected = 0.471 eV/atom
space-group type = P4/mmm (123)
energy above the lowest structure with this stoichiometry = 0.000 eV/atom


The following is a SCAN calculation of a PBEsol-optimized structure of BAsIO2, from the Alexandria database.

a b c (Å): 3.7605 3.7605 4.5153
angles (deg): 90.00 90.00 90.00
With the nearest neighbours (Å) after each atom.
Fractional positions:
I 0.0000 0.0000 0.5000  2 B 2.26
As 0.5000 0.5000 0.5000  4 I 2.66, 8 O 2.94
B 0.0000 0.0000 0.0000  4 O 1.88
O 0.0000 0.5000 0.0000  2 B 1.88
O 0.5000 0.0000 0.0000  2 B 1.88

Computed properties:
energy relative to the elements, uncorrected = 0.666 eV/atom
space-group type = P4/mmm (123)
energy above the lowest structure with this stoichiometry = 0.195 eV/atom


The following is a SCAN calculation of a PBEsol-optimized structure of BSb2AsI, from the Alexandria database.

a b c (Å): 4.7136 4.8745 4.8745
angles (deg): 90.00 90.00 90.00
With the nearest neighbours (Å) after each atom.
Fractional positions:
I 0.5000 0.0000 0.0000  2 B 2.36
Sb 0.0000 0.0000 0.5000  2 B 2.44
Sb 0.0000 0.5000 0.0000  2 B 2.44
As 0.5000 0.5000 0.5000  8 Sb 3.39, 4 I 3.45
B 0.0000 0.0000 0.0000  2 I 2.36, 4 Sb 2.44

Computed properties:
energy relative to the elements, uncorrected = 1.018 eV/atom
space-group type = P4/mmm (123)


The following is a SCAN calculation of a PBEsol-optimized structure of BTeAsI2, from the Alexandria database.

a b c (Å): 4.8704 4.8704 4.9596
angles (deg): 90.00 90.00 90.00
With the nearest neighbours (Å) after each atom.
Fractional positions:
I 0.0000 0.5000 0.0000  2 B 2.44
I 0.5000 0.0000 0.0000  2 B 2.44
As 0.5000 0.5000 0.5000  4 Te 3.44, 8 I 3.48
Te 0.0000 0.0000 0.5000  2 B 2.48
B 0.0000 0.0000 0.0000  4 I 2.44, 2 Te 2.48

Computed properties:
energy relative to the elements, uncorrected = 1.036 eV/atom
space-group type = P4/mmm (123)


The following is a SCAN calculation of a PBEsol-optimized structure of InBAs3, from the Alexandria database.

a b c (Å): 4.4622 4.4622 4.4622
angles (deg): 90.00 90.00 90.00
With the nearest neighbours (Å) after each atom.
Fractional positions:
As 0.0000 0.5000 0.0000  2 B 2.23
As 0.0000 0.0000 0.5000  2 B 2.23
As 0.5000 0.0000 0.0000  2 B 2.23
B 0.0000 0.0000 0.0000  6 As 2.23
In 0.5000 0.5000 0.5000  12 As 3.16

Computed properties:
formation energy from the elements = 734 meV per atom
space-group type = Pm-3m (221)


The following is a SCAN calculation of a PBEsol-optimized structure of BAs3Ir, from the Alexandria database.

a b c (Å): 4.2175 4.2175 4.2175
angles (deg): 90.00 90.00 90.00
With the nearest neighbours (Å) after each atom.
Fractional positions:
As 0.0000 0.5000 0.0000  2 B 2.11
As 0.0000 0.0000 0.5000  2 B 2.11
As 0.5000 0.0000 0.0000  2 B 2.11
Ir 0.5000 0.5000 0.5000  12 As 2.98
B 0.0000 0.0000 0.0000  6 As 2.11

Computed properties:
formation energy from the elements = 934 meV per atom
space-group type = Pm-3m (221)


The following is a SCAN calculation of a PBEsol-optimized structure of BAsIr2, from the Alexandria database.

a b c (Å): 4.1456 4.1456 4.1456
angles (deg): 60.00 60.00 60.00
With the nearest neighbours (Å) after each atom.
Fractional positions:
As 0.5000 0.5000 0.5000  8 Ir 2.54
Ir 0.2500 0.2500 0.2500  4 As 2.54, 4 B 2.54
Ir 0.7500 0.7500 0.7500  4 As 2.54, 4 B 2.54
B 0.0000 0.0000 0.0000  8 Ir 2.54

Computed properties:
formation energy from the elements = 557 meV per atom
space-group type = Fm-3m (225)


The following is a SCAN calculation of a PBEsol-optimized structure of B2AsIrPt, from the Alexandria database.

a b c (Å): 3.8508 3.8508 5.4714
angles (deg): 90.00 90.00 90.00
With the nearest neighbours (Å) after each atom.
Fractional positions:
As 0.5000 0.5000 0.5000  4 Ir 2.72
Ir 0.0000 0.0000 0.5000  4 As 2.72, 2 Pt 2.74
B 0.0000 0.5000 0.0000  2 Pt 1.93
B 0.5000 0.0000 0.0000  2 Pt 1.93
Pt 0.0000 0.0000 0.0000  4 B 1.93

Computed properties:
formation energy from the elements = 887 meV per atom
space-group type = P4/mmm (123)


The following is a SCAN calculation of a PBEsol-optimized structure of KBAs3, from the Alexandria database.

a b c (Å): 4.5930 4.5930 4.5930
angles (deg): 90.00 90.00 90.00
With the nearest neighbours (Å) after each atom.
Fractional positions:
As 0.0000 0.5000 0.0000  2 B 2.30
As 0.0000 0.0000 0.5000  2 B 2.30
As 0.5000 0.0000 0.0000  2 B 2.30
B 0.0000 0.0000 0.0000  6 As 2.30
K 0.5000 0.5000 0.5000  12 As 3.25

Computed properties:
formation energy from the elements = 596 meV per atom
space-group type = Pm-3m (221)


Final energy across the listed records, respectively: -1.9417 -1.4364 -1.2423 -1.0946 -1.0803 -1.9668 -1.9576 -1.4364 -1.9761 -3.0794 -2.5270 -1.0782 Ry/atom.
D(E_F) across the listed records, respectively: 0.631 0.594 0.363 0.230 0.238 0.594 0.520 0.553 0.579 0.479 0.408 0.376 states/eV/atom.